1.
Below is an optimized crystal structure of BaCa3Cd8, with properties calculated at the PBE level.

**Formation energy from the elements**: -352 kJ/mol of formula units
**DOS(E_F)**: 0.658 states/eV/atom
**Magnetization**: 0.000 μB per cell

Cell lengths 6.1935, 6.1935, 9.7618 Å; angles 90.00, 90.00, 120.00 degrees
Last column: nearest neighbours and their distance in Å.
Fractional positions:
1 Ba 0.0000 0.0000 0.0000  12 Cd 3.58-3.63, 4 Ca 3.77-3.79
2 Ca 0.0000 0.0000 0.3860  12 Cd 3.37-3.63, 3 Ca 3.73, 1 Ba 3.77
3 Ca 0.6667 0.3333 0.4955  12 Cd 3.44-3.62, 4 Ca 3.67-3.73
4 Ca 0.6667 0.3333 0.8716  12 Cd 3.58-3.63, 1 Ca 3.67, 3 Ba 3.79
5 Cd 0.1638 0.3277 0.6810  6 Cd 3.01-3.15
6 Cd 0.1638 0.8362 0.6810  6 Cd 3.01-3.15
7 Cd 0.3333 0.6667 0.4354  6 Cd 3.00-3.01
8 Cd 0.3333 0.6667 0.9355  6 Cd 3.08-3.11
9 Cd 0.5042 0.0084 0.1923  6 Cd 3.00-3.17
10 Cd 0.5042 0.4958 0.1923  6 Cd 3.00-3.17
11 Cd 0.6723 0.8362 0.6810  6 Cd 3.01-3.15
12 Cd 0.9916 0.4958 0.1923  6 Cd 3.00-3.17

=====

2.
Below is an optimized crystal structure of LaSm2Sb, with properties calculated at the PBE level.

**DOS(E_F)**: 1.484 states/eV/atom
**Formation energy (no corrections)**: -0.58 eV per atom
**Magnetization**: 1.107 μB per cell
**Polymorph energy (0 for the lowest one)**: 0 meV per atom

Cell lengths 4.1817, 10.0713, 6.5633 Å; angles 90.00, 108.56, 90.00 degrees
Last column: nearest neighbours and their distance in Å.
Fractional positions:
1 La 0.0577 0.2500 0.1144  3 Sb 3.33-3.62, 4 Sm 3.73
2 La 0.9423 0.7500 0.8856  3 Sb 3.33-3.62, 4 Sm 3.73
3 Sm 0.3608 0.0392 0.7212  3 Sb 3.20-3.31, 3 Sm 3.54-3.56
4 Sm 0.3608 0.4608 0.7212  3 Sb 3.20-3.31, 3 Sm 3.54-3.56
5 Sm 0.6392 0.5392 0.2788  3 Sb 3.20-3.31, 3 Sm 3.54-3.56
6 Sm 0.6392 0.9608 0.2788  3 Sb 3.20-3.31, 3 Sm 3.54-3.56
7 Sb 0.2338 0.7500 0.4681  6 Sm 3.20-3.31, 2 La 3.33
8 Sb 0.7662 0.2500 0.5319  6 Sm 3.20-3.31, 2 La 3.33

=====

3.
Below is an optimized crystal structure of SnSb2Rh, with properties calculated at the PBE level.

**DOS(E_F)**: 0.672 states/eV/atom
**Formation energy (no corrections)**: -0.01 eV per atom
**Magnetization**: 0.000 μB per cell

Cell lengths 7.8080, 7.8080, 7.8080 Å; angles 133.11, 133.11, 68.48 degrees
Last column: nearest neighbours and their distance in Å.
Fractional positions:
1 Sn 0.0000 0.0000 0.0000  4 Sb 2.93
2 Sn 0.7500 0.2500 0.5000  4 Sb 2.93
3 Sb 0.1791 0.6250 0.0541  2 Rh 2.55
4 Sb 0.3750 0.4291 0.5541  2 Rh 2.55
5 Sb 0.5709 0.1250 0.9459  2 Rh 2.55
6 Sb 0.8750 0.8209 0.4459  2 Rh 2.55
7 Rh 0.2500 0.7500 0.5000  4 Sb 2.55
8 Rh 0.5000 0.5000 0.0000  4 Sb 2.55

=====

4.
Below is an optimized crystal structure of Cs4GeI5, with properties calculated at the PBE level.

**DOS(E_F)**: 0.142 states/eV/atom
**Formation energy (no corrections)**: -1.09 eV per atom
**Magnetization**: 0.203 μB per cell

Cell lengths 9.1943, 9.1943, 9.1943 Å; angles 100.36, 100.36, 129.83 degrees
Last column: nearest neighbours and their distance in Å.
Fractional positions:
1 Cs 0.0896 0.7039 0.7934  5 I 3.66-3.96
2 Cs 0.2961 0.0896 0.3857  5 I 3.66-3.96
3 Cs 0.7039 0.9104 0.6143  5 I 3.66-3.96
4 Cs 0.9104 0.2961 0.2066  5 I 3.66-3.96
5 Ge 0.5150 0.5150 0.0000  4 I 3.18
6 I 0.0401 0.0401 0.0000  4 Cs 3.66, 2 Ge 3.70-4.09
7 I 0.2475 0.4198 0.6588  1 Ge 3.18
8 I 0.4198 0.7610 0.1723  1 Ge 3.18
9 I 0.5887 0.2475 0.8277  1 Ge 3.18
10 I 0.7610 0.5887 0.3412  1 Ge 3.18

=====

5.
Below is an optimized crystal structure of MgTl2Cd, with properties calculated at the PBE level.

**Formation energy from the elements**: 17 kJ/mol of formula units
**DOS(E_F)**: 0.362 states/eV/atom
**Magnetization**: 0.000 μB per cell
**Polymorph energy (0 for the lowest one)**: 49 meV per atom

Cell lengths 3.3573, 3.3573, 9.8902 Å; angles 90.00, 90.00, 106.36 degrees
Last column: nearest neighbours and their distance in Å.
Fractional positions:
1 Mg 0.0000 0.0000 0.0000  4 Tl 3.16, 4 Mg 3.36
2 Tl 0.5000 0.5000 0.2466  2 Mg 3.16, 2 Cd 3.21, 4 Tl 3.36
3 Tl 0.5000 0.5000 0.7534  2 Mg 3.16, 2 Cd 3.21, 4 Tl 3.36
4 Cd 0.0000 0.0000 0.5000  4 Tl 3.21, 4 Cd 3.36

=====

6.
Below is an optimized crystal structure of Ho6SbP3Se2, with properties calculated at the PBE level.

**DOS(E_F)**: 0.319 states/eV/atom
**Formation energy (no corrections)**: -1.63 eV per atom
**Magnetization**: 0.000 μB per cell

Cell lengths 9.1510, 9.1510, 8.2082 Å; angles 103.88, 103.88, 25.60 degrees
Last column: nearest neighbours and their distance in Å.
Fractional positions:
1 Ho 0.0038 0.0038 0.2336  3 P 2.78-2.82, 1 Se 2.99, 2 Sb 3.00
2 Ho 0.3267 0.3267 0.4273  3 P 2.77-2.82, 2 Se 2.98, 1 Sb 3.00
3 Ho 0.3378 0.3378 0.9049  3 P 2.79-2.81, 3 Se 2.93-2.96
4 Ho 0.6622 0.6622 0.0951  3 P 2.79-2.81, 3 Se 2.93-2.96
5 Ho 0.6733 0.6733 0.5727  3 P 2.77-2.82, 2 Se 2.98, 1 Sb 3.00
6 Ho 0.9962 0.9962 0.7664  3 P 2.78-2.82, 1 Se 2.99, 2 Sb 3.00
7 Sb 0.5000 0.5000 0.5000  6 Ho 3.00
8 P 0.1668 0.1668 0.3314  6 Ho 2.77-2.82
9 P 0.5000 0.5000 0.0000  6 Ho 2.78-2.81
10 P 0.8332 0.8332 0.6686  6 Ho 2.77-2.82
11 Se 0.1685 0.1685 0.8365  6 Ho 2.93-2.99
12 Se 0.8315 0.8315 0.1635  6 Ho 2.93-2.99

=====

> What is the magnetization in the third record?

0.000 μB per cell

=====

> Among the records above, which one has the lowest DOS(E_F)?

Cs4GeI5